# Th5Co2Hg | the Alexandria database | PBE | optimized geometry
data_Th5Co2Hg
_chemical_formula_sum 'Th10 Co4 Hg2'
_cell_length_a 7.696
_cell_length_b 7.696
_cell_length_c 8.786
_cell_angle_alpha 115.97
_cell_angle_beta 115.97
_cell_angle_gamma 90.00
_space_group_name_H-M_alt 'P 1'
_space_group_IT_number 1
_space_group_name_Hall 'P 1'
loop_
_atom_site_label
_atom_site_fract_x
_atom_site_fract_y
_atom_site_fract_z
Th1 0.206 0.021 0.727
Th2 0.706 0.206 0.727
Th3 0.521 0.706 0.727
Th4 0.979 0.479 0.273
Th5 0.500 0.500 0.000
Th6 0.294 0.794 0.273
Th7 0.794 0.979 0.273
Th8 0.000 0.000 0.000
Th9 0.021 0.521 0.727
Th10 0.479 0.294 0.273
Hg1 0.750 0.750 0.500
Hg2 0.250 0.250 0.500
Co1 0.133 0.367 0.000
Co2 0.867 0.633 0.000
Co3 0.367 0.867 0.000
Co4 0.633 0.133 0.000
# * formation energy: -4.4 kcal/mol of atoms
# * DOS(E_F): 11.2 states/eV/f.u.

# Th6CoHg2 | the Alexandria database | PBE | optimized geometry
data_Th6CoHg2
_chemical_formula_sum 'Th12 Co2 Hg4'
_cell_length_a 6.384
_cell_length_b 7.924
_cell_length_c 10.382
_cell_angle_alpha 90.00
_cell_angle_beta 92.19
_cell_angle_gamma 90.00
_space_group_name_H-M_alt 'P 1'
_space_group_IT_number 1
_space_group_name_Hall 'P 1'
loop_
_atom_site_label
_atom_site_fract_x
_atom_site_fract_y
_atom_site_fract_z
Th1 0.131 0.326 0.457
Th2 0.869 0.674 0.543
Th3 0.631 0.174 0.957
Th4 0.874 0.694 0.959
Th5 0.372 0.523 0.754
Th6 0.872 0.977 0.254
Th7 0.628 0.477 0.246
Th8 0.369 0.826 0.043
Th9 0.128 0.023 0.746
Th10 0.126 0.306 0.041
Th11 0.626 0.194 0.541
Th12 0.374 0.806 0.459
Hg1 0.398 0.112 0.256
Hg2 0.602 0.888 0.744
Hg3 0.102 0.612 0.244
Hg4 0.898 0.388 0.756
Co1 0.000 0.000 0.500
Co2 0.500 0.500 0.000
# * formation energy: -1.9 kcal/mol of atoms
# * DOS(E_F): 12.8 states/eV/f.u.

# Th2CoHg | the Alexandria database | PBE | optimized geometry
data_Th2CoHg
_chemical_formula_sum 'Th2 Co1 Hg1'
_cell_length_a 4.089
_cell_length_b 4.089
_cell_length_c 7.586
_cell_angle_alpha 90.00
_cell_angle_beta 90.00
_cell_angle_gamma 60.00
_space_group_name_H-M_alt 'P 1'
_space_group_IT_number 1
_space_group_name_Hall 'P 1'
loop_
_atom_site_label
_atom_site_fract_x
_atom_site_fract_y
_atom_site_fract_z
Th1 0.667 0.667 0.186
Th2 0.333 0.333 0.814
Hg1 0.000 0.000 0.500
Co1 0.000 0.000 0.000
# * formation energy: -5.6 kcal/mol of atoms
# * E above lowest polymorph: 33 meV/atom
# * DOS(E_F): 4.0 states/eV/f.u.

# TiCo2Hg | the Alexandria database | PBE | optimized geometry
data_TiCo2Hg
_chemical_formula_sum 'Ti2 Co4 Hg2'
_cell_length_a 6.659
_cell_length_b 6.659
_cell_length_c 5.453
_cell_angle_alpha 52.37
_cell_angle_beta 52.37
_cell_angle_gamma 90.00
_space_group_name_H-M_alt 'P 1'
_space_group_IT_number 1
_space_group_name_Hall 'P 1'
loop_
_atom_site_label
_atom_site_fract_x
_atom_site_fract_y
_atom_site_fract_z
Co1 0.160 0.625 0.250
Co2 0.375 0.410 0.750
Co3 0.590 0.125 0.250
Co4 0.875 0.840 0.750
Hg1 0.750 0.250 0.500
Hg2 0.000 0.000 0.000
Ti1 0.250 0.750 0.500
Ti2 0.500 0.500 0.000
# * formation energy: 8.7 kcal/mol of atoms
# * DOS(E_F): 1.3 states/eV/f.u.

# Ti3CoHg | the Alexandria database | PBE | optimized geometry
data_Ti3CoHg
_chemical_formula_sum 'Ti3 Co1 Hg1'
_cell_length_a 4.913
_cell_length_b 4.913
_cell_length_c 4.913
_cell_angle_alpha 90.00
_cell_angle_beta 90.00
_cell_angle_gamma 90.00
_space_group_name_H-M_alt 'P 1'
_space_group_IT_number 1
_space_group_name_Hall 'P 1'
loop_
_atom_site_label
_atom_site_fract_x
_atom_site_fract_y
_atom_site_fract_z
Ti1 0.500 0.000 0.000
Ti2 0.000 0.500 0.000
Ti3 0.000 0.000 0.500
Hg1 0.000 0.000 0.000
Co1 0.500 0.500 0.500
# * formation energy: 37.5 kcal/mol of atoms
# * E above lowest polymorph: 1700 meV/atom
# * DOS(E_F): 8.6 states/eV/f.u.

# Ti6CoHg | the Alexandria database | PBE | optimized geometry
data_Ti6CoHg
_chemical_formula_sum 'Ti6 Co1 Hg1'
_cell_length_a 5.517
_cell_length_b 5.517
_cell_length_c 5.517
_cell_angle_alpha 106.89
_cell_angle_beta 106.89
_cell_angle_gamma 106.89
_space_group_name_H-M_alt 'P 1'
_space_group_IT_number 1
_space_group_name_Hall 'P 1'
loop_
_atom_site_label
_atom_site_fract_x
_atom_site_fract_y
_atom_site_fract_z
Ti1 0.776 0.776 0.348
Ti2 0.348 0.776 0.776
Ti3 0.224 0.652 0.224
Ti4 0.224 0.224 0.652
Ti5 0.652 0.224 0.224
Ti6 0.776 0.348 0.776
Hg1 0.000 0.000 0.000
Co1 0.500 0.500 0.500
# * formation energy: 3.7 kcal/mol of atoms
# * DOS(E_F): 8.5 states/eV/f.u.

# Ti5Co4Hg | the Alexandria database | PBE | optimized geometry
data_Ti5Co4Hg
_chemical_formula_sum 'Ti5 Co4 Hg1'
_cell_length_a 2.947
_cell_length_b 2.947
_cell_length_c 16.394
_cell_angle_alpha 90.00
_cell_angle_beta 90.00
_cell_angle_gamma 90.00
_space_group_name_H-M_alt 'P 1'
_space_group_IT_number 1
_space_group_name_Hall 'P 1'
loop_
_atom_site_label
_atom_site_fract_x
_atom_site_fract_y
_atom_site_fract_z
Ti1 0.500 0.500 0.500
Ti2 0.500 0.500 0.133
Ti3 0.500 0.500 0.867
Ti4 0.500 0.500 0.317
Ti5 0.500 0.500 0.683
Co1 0.000 0.000 0.771
Co2 0.000 0.000 0.410
Co3 0.000 0.000 0.229
Co4 0.000 0.000 0.590
Hg1 0.000 0.000 0.000
# * formation energy: -7.0 kcal/mol of atoms
# * DOS(E_F): 11.1 states/eV/f.u.

# Ti2CoHg | the Alexandria database | PBE | optimized geometry
data_Ti2CoHg
_chemical_formula_sum 'Ti4 Co2 Hg2'
_cell_length_a 7.113
_cell_length_b 7.113
_cell_length_c 5.693
_cell_angle_alpha 51.34
_cell_angle_beta 51.34
_cell_angle_gamma 90.00
_space_group_name_H-M_alt 'P 1'
_space_group_IT_number 1
_space_group_name_Hall 'P 1'
loop_
_atom_site_label
_atom_site_fract_x
_atom_site_fract_y
_atom_site_fract_z
Co1 0.500 0.500 0.000
Co2 0.250 0.750 0.500
Ti1 0.375 0.429 0.750
Ti2 0.875 0.821 0.750
Ti3 0.179 0.625 0.250
Ti4 0.571 0.125 0.250
Hg1 0.750 0.250 0.500
Hg2 0.000 0.000 0.000
# * formation energy: 3.6 kcal/mol of atoms
# * DOS(E_F): 6.2 states/eV/f.u.

# Ti7Co2Hg2 | the Alexandria database | PBE | optimized geometry
data_Ti7Co2Hg2
_chemical_formula_sum 'Ti7 Co2 Hg2'
_cell_length_a 5.963
_cell_length_b 5.913
_cell_length_c 5.963
_cell_angle_alpha 90.00
_cell_angle_beta 104.95
_cell_angle_gamma 90.00
_space_group_name_H-M_alt 'P 1'
_space_group_IT_number 1
_space_group_name_Hall 'P 1'
loop_
_atom_site_label
_atom_site_fract_x
_atom_site_fract_y
_atom_site_fract_z
Co1 0.283 0.000 0.717
Co2 0.717 0.000 0.283
Hg1 0.813 0.500 0.813
Hg2 0.187 0.500 0.187
Ti1 0.000 0.000 0.000
Ti2 0.000 0.762 0.500
Ti3 0.500 0.238 0.000
Ti4 0.000 0.238 0.500
Ti5 0.500 0.234 0.500
Ti6 0.500 0.762 0.000
Ti7 0.500 0.766 0.500
# * formation energy: 3.2 kcal/mol of atoms
# * DOS(E_F): 14.5 states/eV/f.u.

# Ti4Co2Hg | the Alexandria database | PBE | optimized geometry
data_Ti4Co2Hg
_chemical_formula_sum 'Ti4 Co2 Hg1'
_cell_length_a 3.774
_cell_length_b 3.774
_cell_length_c 10.075
_cell_angle_alpha 79.21
_cell_angle_beta 79.21
_cell_angle_gamma 60.00
_space_group_name_H-M_alt 'P 1'
_space_group_IT_number 1
_space_group_name_Hall 'P 1'
loop_
_atom_site_label
_atom_site_fract_x
_atom_site_fract_y
_atom_site_fract_z
Ti1 0.302 0.302 0.095
Ti2 0.698 0.698 0.905
Ti3 0.099 0.099 0.702
Ti4 0.901 0.901 0.298
Co1 0.601 0.601 0.196
Co2 0.399 0.399 0.804
Hg1 0.500 0.500 0.500
# * formation energy: -0.5 kcal/mol of atoms
# * DOS(E_F): 9.5 states/eV/f.u.

# TiCoHg | the Alexandria database | PBE | optimized geometry
data_TiCoHg
_chemical_formula_sum 'Ti1 Co1 Hg1'
_cell_length_a 3.203
_cell_length_b 3.203
_cell_length_c 5.119
_cell_angle_alpha 108.23
_cell_angle_beta 108.23
_cell_angle_gamma 90.00
_space_group_name_H-M_alt 'P 1'
_space_group_IT_number 1
_space_group_name_Hall 'P 1'
loop_
_atom_site_label
_atom_site_fract_x
_atom_site_fract_y
_atom_site_fract_z
Ti1 0.694 0.694 0.389
Hg1 0.997 0.997 0.995
Co1 0.308 0.308 0.617
# * formation energy: -2.2 kcal/mol of atoms
# * E above lowest polymorph: 17 meV/atom
# * DOS(E_F): 2.2 states/eV/f.u.

# Ti3CoHg | the Alexandria database | PBE | optimized geometry
data_Ti3CoHg
_chemical_formula_sum 'Ti6 Co2 Hg2'
_cell_length_a 3.082
_cell_length_b 8.712
_cell_length_c 7.435
_cell_angle_alpha 121.32
_cell_angle_beta 90.00
_cell_angle_gamma 90.00
_space_group_name_H-M_alt 'P 1'
_space_group_IT_number 1
_space_group_name_Hall 'P 1'
loop_
_atom_site_label
_atom_site_fract_x
_atom_site_fract_y
_atom_site_fract_z
Ti1 0.250 0.176 0.392
Ti2 0.250 0.504 0.333
Ti3 0.750 0.661 0.147
Ti4 0.750 0.496 0.667
Ti5 0.750 0.824 0.608
Ti6 0.250 0.339 0.853
Co1 0.750 0.132 0.592
Co2 0.250 0.868 0.408
Hg1 0.750 0.170 0.036
Hg2 0.250 0.830 0.964
# * formation energy: -1.7 kcal/mol of atoms
# * E above lowest polymorph: 0 meV/atom
# * DOS(E_F): 4.7 states/eV/f.u.

# Ti2CoHg | the Alexandria database | PBE | optimized geometry
data_Ti2CoHg
_chemical_formula_sum 'Ti2 Co1 Hg1'
_cell_length_a 3.012
_cell_length_b 3.012
_cell_length_c 7.051
_cell_angle_alpha 90.00
_cell_angle_beta 90.00
_cell_angle_gamma 90.00
_space_group_name_H-M_alt 'P 1'
_space_group_IT_number 1
_space_group_name_Hall 'P 1'
loop_
_atom_site_label
_atom_site_fract_x
_atom_site_fract_y
_atom_site_fract_z
Ti1 0.000 0.000 0.795
Ti2 0.000 0.000 0.205
Co1 0.500 0.500 0.000
Hg1 0.500 0.500 0.500
# * formation energy: -3.5 kcal/mol of atoms
# * DOS(E_F): 4.8 states/eV/f.u.